Below is a PBEsol-optimized structure of Sr2InAg, with properties calculated at the meta-GGA SCAN level.

Lattice parameters (Å, degrees): 5.314 5.314 5.314 119.90 119.90 90.18
Element x y z (fractional)
Sr 0.000 0.000 0.000
Sr 0.750 0.250 0.500
In 0.500 0.500 0.000
Ag 0.250 0.750 0.500

energy: -27.6049 eV/atom
crystal system: tetragonal
M_tot: 0.000 μB/atom
energy relative to the elements: -6.43 kcal/mol of atoms
D(E_F): 0.17 states/eV/cell


Below is a PBEsol-optimized structure of YIn2Pt, with properties calculated at the meta-GGA SCAN level.

Lattice parameters (Å, degrees): 5.478 5.478 5.478 50.35 50.35 50.35
Element x y z (fractional)
Y 0.000 0.000 0.000
In 0.555 0.555 0.555
In 0.781 0.781 0.781
Pt 0.201 0.201 0.201

energy: -41.9879 eV/atom
crystal system: trigonal
M_tot: 0.000 μB/atom
energy relative to the elements: -18.12 kcal/mol of atoms
D(E_F): 2.50 states/eV/cell


Below is a PBEsol-optimized structure of Sr2CoMo, with properties calculated at the meta-GGA SCAN level.

Lattice parameters (Å, degrees): 3.713 6.258 6.258 47.04 90.00 90.00
Element x y z (fractional)
Sr 0.000 0.000 0.000
Sr 0.500 0.284 0.284
Co 0.500 0.583 0.583
Mo 0.000 0.687 0.687

energy: -23.5117 eV/atom
crystal system: orthorhombic
M_tot: 0.000 μB/atom
energy relative to the elements: 15.53 kcal/mol of atoms
D(E_F): 3.92 states/eV/cell


Below is a PBEsol-optimized structure of Ba3HoRu2O9, with properties calculated at the meta-GGA SCAN level.

Lattice parameters (Å, degrees): 5.851 5.851 14.334 90.00 90.00 120.00
Element x y z (fractional)
Ba 0.000 0.000 0.250
Ba 0.000 0.000 0.750
Ba 0.333 0.667 0.094
Ba 0.333 0.667 0.406
Ba 0.667 0.333 0.594
Ba 0.667 0.333 0.906
Ho 0.000 0.000 0.000
Ho 0.000 0.000 0.500
Ru 0.333 0.667 0.664
Ru 0.333 0.667 0.836
Ru 0.667 0.333 0.164
Ru 0.667 0.333 0.336
O 0.018 0.509 0.750
O 0.176 0.353 0.588
O 0.176 0.353 0.912
O 0.176 0.824 0.588
O 0.176 0.824 0.912
O 0.353 0.176 0.088
O 0.353 0.176 0.412
O 0.491 0.509 0.750
O 0.491 0.982 0.750
O 0.509 0.018 0.250
O 0.509 0.491 0.250
O 0.647 0.824 0.588
O 0.647 0.824 0.912
O 0.824 0.176 0.088
O 0.824 0.176 0.412
O 0.824 0.647 0.088
O 0.824 0.647 0.412
O 0.982 0.491 0.250

energy: -22.0728 eV/atom
crystal system: hexagonal
M_tot: 0.199 μB/atom
D(E_F): 9.79 states/eV/cell


Below is a PBEsol-optimized structure of AlCrSe2, with properties calculated at the meta-GGA SCAN level.

Lattice parameters (Å, degrees): 3.755 3.755 5.306 90.00 90.00 90.00
Element x y z (fractional)
Al 0.000 0.000 0.000
Cr 0.500 0.500 0.500
Se 0.000 0.000 0.500
Se 0.500 0.500 0.000

energy: -17.1718 eV/atom
crystal system: tetragonal
M_tot: 1.047 μB/atom
D(E_F): 1.24 states/eV/cell


Below is a PBEsol-optimized structure of Mn3CuHg, with properties calculated at the meta-GGA SCAN level.

Lattice parameters (Å, degrees): 4.485 4.485 4.485 90.00 90.00 90.00
Element x y z (fractional)
Mn 0.000 0.000 0.500
Mn 0.000 0.500 0.000
Mn 0.500 0.000 0.000
Cu 0.000 0.000 0.000
Hg 0.500 0.500 0.500

energy: -27.1794 eV/atom
crystal system: cubic
M_tot: 2.519 μB/atom
energy relative to the elements: 10.30 kcal/mol of atoms
D(E_F): 4.78 states/eV/cell


Below is a PBEsol-optimized structure of Bi2Ir2O7, with properties calculated at the meta-GGA SCAN level.

Lattice parameters (Å, degrees): 7.293 7.293 7.293 60.00 60.00 60.00
Element x y z (fractional)
Bi 0.000 0.000 0.000
Bi 0.000 0.000 0.500
Bi 0.000 0.500 0.000
Bi 0.500 0.000 0.000
Ir 0.000 0.500 0.500
Ir 0.500 0.000 0.500
Ir 0.500 0.500 0.000
Ir 0.500 0.500 0.500
O 0.125 0.125 0.125
O 0.169 0.169 0.581
O 0.169 0.581 0.169
O 0.169 0.581 0.581
O 0.419 0.419 0.831
O 0.419 0.831 0.419
O 0.419 0.831 0.831
O 0.581 0.169 0.169
O 0.581 0.169 0.581
O 0.581 0.581 0.169
O 0.831 0.419 0.419
O 0.831 0.419 0.831
O 0.831 0.831 0.419
O 0.875 0.875 0.875

energy: -32.2265 eV/atom
crystal system: cubic
M_tot: 0.000 μB/atom
D(E_F): 8.53 states/eV/cell


Below is a PBEsol-optimized structure of BiP2IrO, with properties calculated at the meta-GGA SCAN level.

Lattice parameters (Å, degrees): 5.078 5.078 3.940 90.00 90.00 90.00
Element x y z (fractional)
Bi 0.000 0.000 0.000
P 0.000 0.500 0.000
P 0.500 0.000 0.000
Ir 0.500 0.500 0.500
O 0.000 0.000 0.500

energy: -33.7610 eV/atom
crystal system: tetragonal
M_tot: 0.133 μB/atom
D(E_F): 3.69 states/eV/cell


Below is a PBEsol-optimized structure of Sc2Ag3, with properties calculated at the meta-GGA SCAN level.

Lattice parameters (Å, degrees): 8.047 8.047 8.047 155.05 155.05 35.57
Element x y z (fractional)
Sc 0.106 0.106 0.000
Sc 0.894 0.894 0.000
Ag 0.298 0.298 0.000
Ag 0.500 0.500 0.000
Ag 0.702 0.702 0.000

energy: -24.8535 eV/atom
crystal system: tetragonal
M_tot: 0.000 μB/atom
energy relative to the elements: -7.80 kcal/mol of atoms
D(E_F): 2.76 states/eV/cell


Below is a PBEsol-optimized structure of Nb3FeS6, with properties calculated at the meta-GGA SCAN level.

Lattice parameters (Å, degrees): 5.697 5.697 11.406 90.00 90.00 120.00
Element x y z (fractional)
Nb 0.000 0.000 0.000
Nb 0.000 0.000 0.500
Nb 0.333 0.667 0.004
Nb 0.333 0.667 0.496
Nb 0.667 0.333 0.504
Nb 0.667 0.333 0.996
Fe 0.333 0.667 0.750
Fe 0.667 0.333 0.250
S 0.005 0.337 0.638
S 0.005 0.669 0.862
S 0.331 0.337 0.862
S 0.331 0.995 0.638
S 0.337 0.005 0.362
S 0.337 0.331 0.138
S 0.663 0.669 0.638
S 0.663 0.995 0.862
S 0.669 0.005 0.138
S 0.669 0.663 0.362
S 0.995 0.331 0.362
S 0.995 0.663 0.138

energy: -18.6555 eV/atom
crystal system: hexagonal
M_tot: 0.090 μB/atom
D(E_F): 2.04 states/eV/cell


Below is a PBEsol-optimized structure of Mn2P, with properties calculated at the meta-GGA SCAN level.

Lattice parameters (Å, degrees): 4.051 4.051 4.051 142.45 128.66 65.32
Element x y z (fractional)
Mn 0.167 0.167 0.000
Mn 0.833 0.833 0.000
P 0.500 0.500 0.000

energy: -15.7019 eV/atom
crystal system: orthorhombic
M_tot: 0.001 μB/atom
energy relative to the elements: -1.51 kcal/mol of atoms
D(E_F): 2.56 states/eV/cell


Below is a PBEsol-optimized structure of Zr2InW, with properties calculated at the meta-GGA SCAN level.

Lattice parameters (Å, degrees): 5.145 5.145 5.503 94.91 94.91 32.99
Element x y z (fractional)
Zr 0.245 0.245 0.259
Zr 0.755 0.755 0.741
In 0.500 0.500 0.000
W 0.000 0.000 0.500

energy: -40.9441 eV/atom
crystal system: monoclinic
M_tot: 0.000 μB/atom
energy relative to the elements: 4.01 kcal/mol of atoms
D(E_F): 3.16 states/eV/cell